[1]
# ZrCoSb2

A relaxed ZrCoSb2 crystal (GGA-PBE, the Alexandria database).

a = 3.225 Å, b = 3.930 Å, c = 7.566 Å
α = 90.00°, β = 100.87°, γ = 90.00°
Element x y z (fractional)
Zr 0.000 0.000 0.000
Co 0.556 0.500 0.126
Sb 0.396 0.500 0.767
Sb 0.655 0.000 0.354

DOS(E_F) (states/eV per cell): 3.46
E_tot (eV/cell): -24.70

---

[2]
# AcScH

A relaxed AcScH crystal (GGA-PBE, the Alexandria database).

a = 3.863 Å, b = 3.878 Å, c = 9.895 Å
α = 90.00°, β = 90.00°, γ = 90.00°
Element x y z (fractional)
Ac 0.250 0.250 0.164
Ac 0.750 0.750 0.836
Sc 0.250 0.250 0.577
Sc 0.750 0.750 0.423
H 0.250 0.750 0.000
H 0.750 0.250 0.000

DOS(E_F) (states/eV per cell): 5.99
Distance to the lowest polymorph of the same formula (meV/atom): 0
E_tot (eV/cell): -28.37

---

[3]
# KSnS2N

A relaxed KSnS2N crystal (GGA-PBE, the Alexandria database).

a = 5.544 Å, b = 5.544 Å, c = 4.776 Å
α = 90.00°, β = 90.00°, γ = 90.00°
Element x y z (fractional)
K 0.000 0.000 0.000
Sn 0.500 0.500 0.500
S 0.000 0.500 0.000
S 0.500 0.000 0.000
N 0.000 0.000 0.500

DOS(E_F) (states/eV per cell): 2.62
Distance to the lowest polymorph of the same formula (meV/atom): 1145
E_tot (eV/cell): -14.96

---

[4]
# Sc2ZnBi

A relaxed Sc2ZnBi crystal (GGA-PBE, the Alexandria database).

a = 10.291 Å, b = 10.291 Å, c = 10.291 Å
α = 19.05°, β = 19.05°, γ = 19.05°
Element x y z (fractional)
Sc 0.099 0.099 0.099
Sc 0.901 0.901 0.901
Zn 0.500 0.500 0.500
Bi 0.000 0.000 0.000

Formation energy from the elements (meV per atom): -5.4
DOS(E_F) (states/eV per cell): 3.60
Distance to the lowest polymorph of the same formula (meV/atom): 366
E_tot (eV/cell): -17.84

---

[5]
# Y6Sb3AsSe2

A relaxed Y6Sb3AsSe2 crystal (GGA-PBE, the Alexandria database).

a = 7.360 Å, b = 7.360 Å, c = 7.357 Å
α = 99.56°, β = 99.56°, γ = 120.05°
Element x y z (fractional)
Y 0.079 0.406 0.237
Y 0.247 0.247 0.760
Y 0.406 0.079 0.237
Y 0.594 0.921 0.763
Y 0.753 0.753 0.240
Y 0.921 0.594 0.763
Sb 0.169 0.831 0.500
Sb 0.500 0.500 0.500
Sb 0.831 0.169 0.500
As 0.000 0.000 0.000
Se 0.334 0.666 0.000
Se 0.666 0.334 0.000

DOS(E_F) (states/eV per cell): 2.29
E_tot (eV/cell): -80.20

---

[6]
# LaZn2Se

A relaxed LaZn2Se crystal (GGA-PBE, the Alexandria database).

a = 6.329 Å, b = 6.329 Å, c = 6.329 Å
α = 141.74°, β = 141.74°, γ = 55.22°
Element x y z (fractional)
La 0.000 0.000 0.000
Zn 0.250 0.750 0.500
Zn 0.750 0.250 0.500
Se 0.500 0.500 0.000

DOS(E_F) (states/eV per cell): 0.89
E_tot (eV/cell): -13.75

---

[7]
# Hf2MgSc2

A relaxed Hf2MgSc2 crystal (GGA-PBE, the Alexandria database).

a = 13.204 Å, b = 13.204 Å, c = 13.204 Å
α = 13.94°, β = 13.94°, γ = 13.94°
Element x y z (fractional)
Hf 0.199 0.199 0.199
Hf 0.801 0.801 0.801
Mg 0.000 0.000 0.000
Sc 0.403 0.403 0.403
Sc 0.597 0.597 0.597

Formation energy from the elements (meV per atom): 19.1
DOS(E_F) (states/eV per cell): 6.54
Distance to the lowest polymorph of the same formula (meV/atom): 20
E_tot (eV/cell): -34.07

---

[8]
# Fe5NiPt2

A relaxed Fe5NiPt2 crystal (GGA-PBE, the Alexandria database).

a = 5.266 Å, b = 10.588 Å, c = 3.720 Å
α = 90.00°, β = 90.00°, γ = 90.00°
Element x y z (fractional)
Fe 0.000 0.000 0.000
Fe 0.013 0.256 0.000
Fe 0.246 0.879 0.500
Fe 0.254 0.379 0.500
Fe 0.487 0.756 0.000
Fe 0.500 0.500 0.000
Fe 0.513 0.244 0.000
Fe 0.746 0.621 0.500
Fe 0.754 0.121 0.500
Fe 0.987 0.744 0.000
Ni 0.000 0.500 0.000
Ni 0.500 0.000 0.000
Pt 0.243 0.626 0.500
Pt 0.257 0.126 0.500
Pt 0.743 0.874 0.500
Pt 0.757 0.374 0.500

Formation energy from the elements (meV per atom): -131.8
DOS(E_F) (states/eV per cell): 14.44
E_tot (eV/cell): -122.46